Material: Na5HgIrN2
Method: DFT, PBE
State: optimized geometry

a = 4.984 Å, b = 4.984 Å, c = 8.504 Å
α = 90.00°, β = 90.00°, γ = 90.00°
Fractional coordinates of all 9 atoms:
Na 0.000 0.000 0.500
Na 0.500 0.000 0.216
Na 0.000 0.500 0.784
Na 0.500 0.000 0.784
Na 0.000 0.500 0.216
N 0.000 0.000 0.786
N 0.000 0.000 0.214
Hg 0.500 0.500 0.500
Ir 0.000 0.000 0.000

Output
Spin magnetization in μB/f.u.: 0.428
Calculated total energy in eV/atom: -3.64
Uncorrected formation energy in eV/atom: -0.0410
Crystal system: tetragonal
Theoretical density in g cm⁻³: 4.2